# 1
## DyInSn2 (GGA-PBE)

Data for crystalline DyInSn2 at its relaxed geometry.

```
data_DyInSn2
_symmetry_space_group_name_H-M 'P 4/m m m'
_symmetry_Int_Tables_number 123
_symmetry_space_group_name_Hall '-P 4 2'
_cell_length_a 4.122
_cell_length_b 4.122
_cell_length_c 6.323
_cell_angle_alpha 90.00
_cell_angle_beta 90.00
_cell_angle_gamma 90.00
loop_
_atom_site_label
_atom_site_type_symbol
_atom_site_fract_x
_atom_site_fract_y
_atom_site_fract_z
Dy1 Dy 0.000 0.000 0.000
In1 In 0.000 0.000 0.500
Sn1 Sn 0.500 0.500 0.243
```

Results
formation energy from the elements = -0.33 eV per atom
calculated total energy = -0.1532 hartree per atom

# 2
## La2InSe (GGA-PBE)

Data for crystalline La2InSe at its relaxed geometry.

```
data_La2InSe
_symmetry_space_group_name_H-M 'R 3 m'
_symmetry_Int_Tables_number 160
_symmetry_space_group_name_Hall 'R 3 -2"'
_cell_length_a 3.9231
_cell_length_b 3.9231
_cell_length_c 28.7745
_cell_angle_alpha 90.00
_cell_angle_beta 90.00
_cell_angle_gamma 120.00
loop_
_atom_site_label
_atom_site_type_symbol
_atom_site_fract_x
_atom_site_fract_y
_atom_site_fract_z
La1 La 0.0000 0.0000 0.0000
La2 La 0.0000 0.0000 0.2317
In1 In 0.0000 0.0000 0.4727
Se1 Se 0.0000 0.0000 0.7379
```

Results
E_form (uncorrected) = -0.531 eV/atom
excess energy over the best structure of this formula in the dataset = 628 meV/atom
calculated total energy = -0.1672 hartree per atom